The following is a PBEsol calculation of a relaxed structure of CoS2, from Alexandria.

## Properties
Formation energy (no corrections): -0.501 eV/atom

Cell and atoms, written as CIF:
```
data_CoS2
_cell_length_a 5.3893
_cell_length_b 5.3893
_cell_length_c 5.3893
_cell_angle_alpha 90.00
_cell_angle_beta 90.00
_cell_angle_gamma 90.00
_symmetry_space_group_name_H-M 'P a -3'
_symmetry_Int_Tables_number 205
_symmetry_space_group_name_Hall '-P 2ac 2ab 3'
loop_
_atom_site_label
_atom_site_fract_x
_atom_site_fract_y
_atom_site_fract_z
Co1 0.0000 0.0000 0.0000
S1 0.1179 0.6179 0.8821
```